Material: Tb2CdNi2
Method: DFT, GGA-PBE
State: relaxed

Values from the calculation:
DOS at the Fermi energy: 0.8638 states/eV/atom
total energy: -4.797 eV/atom

The structure in CIF format:
```
data_Tb2CdNi2
_chemical_formula_sum 'Tb2 Cd1 Ni2'
_space_group_name_H-M_alt 'P 1'
_space_group_IT_number 1
_cell_length_a 7.382
_cell_length_b 7.382
_cell_length_c 3.741
_cell_angle_alpha 90.00
_cell_angle_beta 90.00
_cell_angle_gamma 149.47
loop_
_space_group_symop_operation_xyz
'x,y,z'
loop_
_atom_site_label
_atom_site_fract_x
_atom_site_fract_y
_atom_site_fract_z
Tb1 0.138 0.862 0.000
Tb2 0.862 0.138 0.000
Cd1 0.500 0.500 0.500
Ni1 0.300 0.700 0.500
Ni2 0.700 0.300 0.500
```